Entry 1:
CrCSN2 at its PBEsol-relaxed geometry, computed with meta-GGA SCAN.

Formation energy without anion corrections   9.231 eV per formula unit

a = 3.440 Å, b = 3.440 Å, c = 3.826 Å
α = 90.00°, β = 90.00°, γ = 90.00°
Fractional coordinates of all 5 atoms:
Cr 0.000 0.000 0.000
C 0.500 0.500 0.500
S 0.500 0.500 0.000
N 0.000 0.500 0.500
N 0.500 0.000 0.500

=====

Entry 2:
NaCrC2 at its PBEsol-relaxed geometry, computed with meta-GGA SCAN.

Energy of formation   1623 meV/atom

a = 5.317 Å, b = 5.317 Å, c = 5.317 Å
α = 90.00°, β = 90.00°, γ = 90.00°
Fractional coordinates of all 16 atoms:
Na 0.000 0.000 0.000
Na 0.000 0.500 0.500
Na 0.500 0.000 0.500
Na 0.500 0.500 0.000
Cr 0.000 0.000 0.500
Cr 0.000 0.500 0.000
Cr 0.500 0.000 0.000
Cr 0.500 0.500 0.500
C 0.250 0.250 0.250
C 0.250 0.250 0.750
C 0.250 0.750 0.250
C 0.250 0.750 0.750
C 0.750 0.250 0.250
C 0.750 0.250 0.750
C 0.750 0.750 0.250
C 0.750 0.750 0.750

=====

Entry 3:
Na4Cr2PC4O16 at its PBEsol-relaxed geometry, computed with meta-GGA SCAN.

Formation energy without anion corrections   -51.134 eV per formula unit

a = 9.769 Å, b = 9.742 Å, c = 9.621 Å
α = 60.59°, β = 60.32°, γ = 59.09°
Fractional coordinates of all 54 atoms:
Na 0.085 0.665 0.085
Na 0.085 0.665 0.665
Na 0.335 0.915 0.335
Na 0.335 0.915 0.915
Na 0.665 0.085 0.085
Na 0.665 0.085 0.665
Na 0.915 0.335 0.335
Na 0.915 0.335 0.915
Cr 0.000 0.500 0.500
Cr 0.500 0.000 0.500
Cr 0.500 0.500 0.000
Cr 0.500 0.500 0.500
P 0.125 0.125 0.125
P 0.875 0.875 0.875
C 0.284 0.635 0.292
C 0.290 0.292 0.635
C 0.292 0.290 0.284
C 0.365 0.716 0.710
C 0.635 0.284 0.290
C 0.708 0.710 0.716
C 0.710 0.708 0.365
C 0.716 0.365 0.708
O 0.055 0.320 0.062
O 0.062 0.063 0.055
O 0.063 0.062 0.320
O 0.143 0.407 0.310
O 0.143 0.631 0.409
O 0.144 0.318 0.639
O 0.310 0.641 0.143
O 0.317 0.409 0.631
O 0.318 0.144 0.399
O 0.320 0.055 0.063
O 0.359 0.690 0.593
O 0.361 0.601 0.856
O 0.369 0.857 0.683
O 0.399 0.639 0.318
O 0.407 0.143 0.641
O 0.409 0.317 0.143
O 0.591 0.683 0.857
O 0.593 0.857 0.359
O 0.601 0.361 0.682
O 0.631 0.143 0.317
O 0.639 0.399 0.144
O 0.641 0.310 0.407
O 0.680 0.945 0.937
O 0.682 0.856 0.601
O 0.683 0.591 0.369
O 0.690 0.359 0.857
O 0.856 0.682 0.361
O 0.857 0.369 0.591
O 0.857 0.593 0.690
O 0.937 0.938 0.680
O 0.938 0.937 0.945
O 0.945 0.680 0.938

=====

Entry 4:
Na2CrPCO7 at its PBEsol-relaxed geometry, computed with meta-GGA SCAN.

Formation energy without anion corrections   -27.173 eV per formula unit

a = 5.155 Å, b = 6.422 Å, c = 8.903 Å
α = 90.00°, β = 91.78°, γ = 90.00°
Fractional coordinates of all 24 atoms:
Na 0.240 0.010 0.265
Na 0.240 0.490 0.265
Na 0.760 0.510 0.735
Na 0.760 0.990 0.735
Cr 0.212 0.250 0.850
Cr 0.788 0.750 0.150
P 0.284 0.750 0.925
P 0.716 0.250 0.075
C 0.277 0.250 0.583
C 0.723 0.750 0.417
O 0.049 0.250 0.644
O 0.148 0.750 0.078
O 0.203 0.557 0.832
O 0.203 0.943 0.832
O 0.313 0.250 0.445
O 0.415 0.250 0.045
O 0.466 0.250 0.686
O 0.534 0.750 0.314
O 0.585 0.750 0.955
O 0.687 0.750 0.555
O 0.797 0.057 0.168
O 0.797 0.443 0.168
O 0.852 0.250 0.922
O 0.951 0.750 0.356

=====

Entry 5:
Na6Cr2PC4O16 at its PBEsol-relaxed geometry, computed with meta-GGA SCAN.

Formation energy without anion corrections   -57.409 eV per formula unit

a = 9.769 Å, b = 9.769 Å, c = 9.769 Å
α = 60.00°, β = 60.00°, γ = 60.00°
Fractional coordinates of all 58 atoms:
Na 0.082 0.082 0.668
Na 0.082 0.668 0.082
Na 0.082 0.668 0.668
Na 0.332 0.332 0.918
Na 0.332 0.918 0.332
Na 0.332 0.918 0.918
Na 0.668 0.082 0.082
Na 0.668 0.082 0.668
Na 0.668 0.668 0.082
Na 0.918 0.332 0.332
Na 0.918 0.332 0.918
Na 0.918 0.918 0.332
Cr 0.000 0.500 0.500
Cr 0.500 0.000 0.500
Cr 0.500 0.500 0.000
Cr 0.500 0.500 0.500
P 0.125 0.125 0.125
P 0.875 0.875 0.875
C 0.285 0.285 0.285
C 0.285 0.285 0.644
C 0.285 0.644 0.285
C 0.356 0.715 0.715
C 0.644 0.285 0.285
C 0.715 0.356 0.715
C 0.715 0.715 0.356
C 0.715 0.715 0.715
O 0.060 0.060 0.060
O 0.060 0.060 0.320
O 0.060 0.320 0.060
O 0.140 0.311 0.646
O 0.140 0.402 0.311
O 0.140 0.646 0.402
O 0.311 0.140 0.402
O 0.311 0.402 0.646
O 0.311 0.646 0.140
O 0.320 0.060 0.060
O 0.354 0.598 0.860
O 0.354 0.689 0.598
O 0.354 0.860 0.689
O 0.402 0.140 0.646
O 0.402 0.311 0.140
O 0.402 0.646 0.311
O 0.598 0.354 0.689
O 0.598 0.689 0.860
O 0.598 0.860 0.354
O 0.646 0.140 0.311
O 0.646 0.311 0.402
O 0.646 0.402 0.140
O 0.680 0.940 0.940
O 0.689 0.354 0.860
O 0.689 0.598 0.354
O 0.689 0.860 0.598
O 0.860 0.354 0.598
O 0.860 0.598 0.689
O 0.860 0.689 0.354
O 0.940 0.680 0.940
O 0.940 0.940 0.680
O 0.940 0.940 0.940

=====

Entry 6:
Na6Cr2C4SO16 at its PBEsol-relaxed geometry, computed with meta-GGA SCAN.

Formation energy without anion corrections   -53.485 eV per formula unit

a = 9.831 Å, b = 9.831 Å, c = 9.831 Å
α = 60.00°, β = 60.00°, γ = 60.00°
Fractional coordinates of all 58 atoms:
Na 0.092 0.092 0.658
Na 0.092 0.658 0.092
Na 0.092 0.658 0.658
Na 0.342 0.342 0.908
Na 0.342 0.908 0.342
Na 0.342 0.908 0.908
Na 0.658 0.092 0.092
Na 0.658 0.092 0.658
Na 0.658 0.658 0.092
Na 0.908 0.342 0.342
Na 0.908 0.342 0.908
Na 0.908 0.908 0.342
Cr 0.000 0.500 0.500
Cr 0.500 0.000 0.500
Cr 0.500 0.500 0.000
Cr 0.500 0.500 0.500
C 0.281 0.281 0.281
C 0.281 0.281 0.658
C 0.281 0.658 0.281
C 0.342 0.719 0.719
C 0.658 0.281 0.281
C 0.719 0.342 0.719
C 0.719 0.719 0.342
C 0.719 0.719 0.719
S 0.125 0.125 0.125
S 0.875 0.875 0.875
O 0.063 0.063 0.063
O 0.063 0.063 0.311
O 0.063 0.311 0.063
O 0.136 0.308 0.396
O 0.136 0.396 0.659
O 0.136 0.659 0.308
O 0.308 0.136 0.659
O 0.308 0.396 0.136
O 0.308 0.659 0.396
O 0.311 0.063 0.063
O 0.341 0.604 0.692
O 0.341 0.692 0.864
O 0.341 0.864 0.604
O 0.396 0.136 0.308
O 0.396 0.308 0.659
O 0.396 0.659 0.136
O 0.604 0.341 0.864
O 0.604 0.692 0.341
O 0.604 0.864 0.692
O 0.659 0.136 0.396
O 0.659 0.308 0.136
O 0.659 0.396 0.308
O 0.689 0.937 0.937
O 0.692 0.341 0.604
O 0.692 0.604 0.864
O 0.692 0.864 0.341
O 0.864 0.341 0.692
O 0.864 0.604 0.341
O 0.864 0.692 0.604
O 0.937 0.689 0.937
O 0.937 0.937 0.689
O 0.937 0.937 0.937

=====

Entry 7:
Na2CrCSO7 at its PBEsol-relaxed geometry, computed with meta-GGA SCAN.

Formation energy without anion corrections   -22.036 eV per formula unit

a = 5.063 Å, b = 7.246 Å, c = 8.654 Å
α = 90.00°, β = 91.80°, γ = 90.00°
Fractional coordinates of all 24 atoms:
Na 0.242 0.002 0.281
Na 0.242 0.498 0.281
Na 0.758 0.502 0.719
Na 0.758 0.998 0.719
Cr 0.217 0.250 0.865
Cr 0.783 0.750 0.135
C 0.275 0.250 0.587
C 0.725 0.750 0.413
S 0.278 0.750 0.899
S 0.722 0.250 0.101
O 0.044 0.250 0.652
O 0.157 0.750 0.056
O 0.200 0.582 0.814
O 0.200 0.918 0.814
O 0.306 0.250 0.444
O 0.425 0.250 0.073
O 0.473 0.250 0.691
O 0.527 0.750 0.309
O 0.575 0.750 0.927
O 0.694 0.750 0.556
O 0.800 0.082 0.186
O 0.800 0.418 0.186
O 0.843 0.250 0.944
O 0.956 0.750 0.348

=====

Entry 8:
Na3CrSiCO7 at its PBEsol-relaxed geometry, computed with meta-GGA SCAN.

Formation energy without anion corrections   -30.058 eV per formula unit

a = 5.181 Å, b = 6.534 Å, c = 8.819 Å
α = 90.00°, β = 92.07°, γ = 90.00°
Fractional coordinates of all 26 atoms:
Na 0.223 0.250 0.089
Na 0.262 0.516 0.719
Na 0.262 0.984 0.719
Na 0.738 0.016 0.281
Na 0.738 0.484 0.281
Na 0.777 0.750 0.911
Cr 0.216 0.750 0.338
Cr 0.784 0.250 0.662
Si 0.280 0.250 0.422
Si 0.720 0.750 0.578
C 0.287 0.750 0.062
C 0.713 0.250 0.938
O 0.059 0.750 0.119
O 0.117 0.250 0.576
O 0.216 0.051 0.312
O 0.216 0.449 0.312
O 0.318 0.750 0.919
O 0.409 0.750 0.530
O 0.481 0.750 0.160
O 0.519 0.250 0.840
O 0.591 0.250 0.470
O 0.682 0.250 0.081
O 0.784 0.551 0.688
O 0.784 0.949 0.688
O 0.883 0.750 0.424
O 0.941 0.250 0.881

=====

Electronic total energy, record by record: -9.493, -9.077, -9.454, -9.842, -9.309, -9.147, -9.350, -9.602 eV/atom
V, record by record: 45, 150, 647, 295, 659, 672, 317, 298 Å³/cell